Entry 1:
Material: Be2TlCo
Method: DFT, GGA-PBE
State: relaxed

The structure in CIF format:
```
data_Be2TlCo
_cell_length_a 4.5258
_cell_length_b 4.5258
_cell_length_c 4.5258
_cell_angle_alpha 132.02
_cell_angle_beta 132.02
_cell_angle_gamma 70.19
_symmetry_space_group_name_H-M 'P 1'
_symmetry_Int_Tables_number 1
loop_
_symmetry_equiv_pos_as_xyz
'x,y,z'
loop_
_atom_site_label
_atom_site_fract_x
_atom_site_fract_y
_atom_site_fract_z
Be1 0.2500 0.7500 0.5000
Be2 0.7500 0.2500 0.5000
Tl1 0.0000 0.0000 0.0000
Co1 0.5000 0.5000 0.0000
```

Values from the calculation:
Energy above the most stable polymorph in this dataset in eV per atom: 0.248


Entry 2:
Material: Fe2Tc2Ge
Method: DFT, GGA-PBE
State: relaxed

The structure in CIF format:
```
data_Fe2Tc2Ge
_cell_length_a 7.2137
_cell_length_b 7.2137
_cell_length_c 2.6678
_cell_angle_alpha 90.00
_cell_angle_beta 90.00
_cell_angle_gamma 90.00
_symmetry_space_group_name_H-M 'P 1'
_symmetry_Int_Tables_number 1
loop_
_symmetry_equiv_pos_as_xyz
'x,y,z'
loop_
_atom_site_label
_atom_site_fract_x
_atom_site_fract_y
_atom_site_fract_z
Fe1 0.1587 0.3413 0.0000
Fe2 0.3413 0.8413 0.0000
Fe3 0.6587 0.1587 0.0000
Fe4 0.8413 0.6587 0.0000
Tc1 0.1319 0.6319 0.5000
Tc2 0.3681 0.1319 0.5000
Tc3 0.6319 0.8681 0.5000
Tc4 0.8681 0.3681 0.5000
Ge1 0.0000 0.0000 0.5000
Ge2 0.5000 0.5000 0.5000
```

Values from the calculation:
Energy above the most stable polymorph in this dataset in eV per atom: 0.020


Entry 3:
Material: La3Zn3Ga8
Method: DFT, GGA-PBE
State: relaxed

The structure in CIF format:
```
data_La3Zn3Ga8
_cell_length_a 8.5009
_cell_length_b 8.5009
_cell_length_c 9.9108
_cell_angle_alpha 125.18
_cell_angle_beta 125.18
_cell_angle_gamma 30.10
_symmetry_space_group_name_H-M 'P 1'
_symmetry_Int_Tables_number 1
loop_
_symmetry_equiv_pos_as_xyz
'x,y,z'
loop_
_atom_site_label
_atom_site_fract_x
_atom_site_fract_y
_atom_site_fract_z
La1 0.0000 0.0000 0.0000
La2 0.3166 0.3166 0.3191
La3 0.6834 0.6834 0.6809
Zn1 0.0000 0.0000 0.5000
Zn2 0.3375 0.3375 0.7030
Zn3 0.6625 0.6625 0.2970
Ga1 0.1463 0.1463 0.4185
Ga2 0.1498 0.1498 0.8762
Ga3 0.3416 0.3416 0.9642
Ga4 0.5000 0.5000 0.2857
Ga5 0.5000 0.5000 0.7143
Ga6 0.6584 0.6584 0.0358
Ga7 0.8502 0.8502 0.1238
Ga8 0.8537 0.8537 0.5815
```

Values from the calculation:
Energy above the most stable polymorph in this dataset in eV per atom: 0.000


Entry 4:
Material: Be2TcSb
Method: DFT, GGA-PBE
State: relaxed

The structure in CIF format:
```
data_Be2TcSb
_cell_length_a 3.2585
_cell_length_b 3.2585
_cell_length_c 5.1933
_cell_angle_alpha 90.00
_cell_angle_beta 90.00
_cell_angle_gamma 90.00
_symmetry_space_group_name_H-M 'P 1'
_symmetry_Int_Tables_number 1
loop_
_symmetry_equiv_pos_as_xyz
'x,y,z'
loop_
_atom_site_label
_atom_site_fract_x
_atom_site_fract_y
_atom_site_fract_z
Be1 0.0000 0.0000 0.0000
Be2 0.5000 0.5000 0.2004
Tc1 0.5000 0.5000 0.7638
Sb1 0.0000 0.0000 0.4858
```

Values from the calculation:
Formation energy without anion corrections in eV/atom: 0.165


Entry 5:
Material: Nd3Mg5Sn2
Method: DFT, GGA-PBE
State: relaxed

The structure in CIF format:
```
data_Nd3Mg5Sn2
_cell_length_a 9.9136
_cell_length_b 9.9136
_cell_length_c 9.9136
_cell_angle_alpha 99.22
_cell_angle_beta 92.55
_cell_angle_gamma 142.68
_symmetry_space_group_name_H-M 'P 1'
_symmetry_Int_Tables_number 1
loop_
_symmetry_equiv_pos_as_xyz
'x,y,z'
loop_
_atom_site_label
_atom_site_fract_x
_atom_site_fract_y
_atom_site_fract_z
Nd1 0.2413 0.1252 0.3665
Nd2 0.2500 0.2500 0.0000
Nd3 0.2587 0.6252 0.8839
Nd4 0.7413 0.3748 0.1161
Nd5 0.7500 0.7500 0.0000
Nd6 0.7587 0.8748 0.6335
Mg1 0.1436 0.3858 0.5294
Mg2 0.2500 0.5065 0.2565
Mg3 0.2500 0.7500 0.5000
Mg4 0.2500 0.9935 0.7435
Mg5 0.3564 0.8858 0.2422
Mg6 0.6436 0.1142 0.7578
Mg7 0.7500 0.0065 0.2565
Mg8 0.7500 0.2500 0.5000
Mg9 0.7500 0.4935 0.7435
Mg10 0.8564 0.6142 0.4706
Sn1 0.1564 0.8628 0.0192
Sn2 0.3436 0.3628 0.7063
Sn3 0.6564 0.6372 0.2937
Sn4 0.8436 0.1372 0.9808
```

Values from the calculation:
VASP energy in eV per atom: -3.264


Entry 6:
Material: Ga2CoGeS
Method: DFT, GGA-PBE
State: relaxed

The structure in CIF format:
```
data_Ga2CoGeS
_cell_length_a 4.9281
_cell_length_b 4.9281
_cell_length_c 4.5152
_cell_angle_alpha 90.00
_cell_angle_beta 90.00
_cell_angle_gamma 90.00
_symmetry_space_group_name_H-M 'P 1'
_symmetry_Int_Tables_number 1
loop_
_symmetry_equiv_pos_as_xyz
'x,y,z'
loop_
_atom_site_label
_atom_site_fract_x
_atom_site_fract_y
_atom_site_fract_z
Ga1 0.0000 0.5000 0.0000
Ga2 0.5000 0.0000 0.0000
Co1 0.0000 0.0000 0.5000
Ge1 0.0000 0.0000 0.0000
S1 0.5000 0.5000 0.5000
```

Values from the calculation:
Formation energy without anion corrections in eV/atom: 0.589


Entry 7:
Material: Nd2Pd3Au2
Method: DFT, GGA-PBE
State: relaxed

The structure in CIF format:
```
data_Nd2Pd3Au2
_cell_length_a 7.3937
_cell_length_b 7.3937
_cell_length_c 7.3937
_cell_angle_alpha 109.47
_cell_angle_beta 109.47
_cell_angle_gamma 109.47
_symmetry_space_group_name_H-M 'P 1'
_symmetry_Int_Tables_number 1
loop_
_symmetry_equiv_pos_as_xyz
'x,y,z'
loop_
_atom_site_label
_atom_site_fract_x
_atom_site_fract_y
_atom_site_fract_z
Nd1 0.0000 0.9948 0.5000
Nd2 0.5000 0.0000 0.9948
Nd3 0.5052 0.5052 0.5052
Nd4 0.9948 0.5000 0.0000
Pd1 0.0189 0.2500 0.2689
Pd2 0.2311 0.4811 0.7500
Pd3 0.2500 0.2689 0.0189
Pd4 0.2689 0.0189 0.2500
Pd5 0.4811 0.7500 0.2311
Pd6 0.7500 0.2311 0.4811
Au1 0.0000 0.6111 0.5000
Au2 0.5000 0.0000 0.6111
Au3 0.6111 0.5000 0.0000
Au4 0.8889 0.8889 0.8889
```

Values from the calculation:
Energy above the most stable polymorph in this dataset in eV per atom: 0.042


Entry 8:
Material: ScAu3
Method: DFT, GGA-PBE
State: relaxed

The structure in CIF format:
```
data_ScAu3
_cell_length_a 5.9623
_cell_length_b 5.9623
_cell_length_c 4.8250
_cell_angle_alpha 90.00
_cell_angle_beta 90.00
_cell_angle_gamma 120.00
_symmetry_space_group_name_H-M 'P 1'
_symmetry_Int_Tables_number 1
loop_
_symmetry_equiv_pos_as_xyz
'x,y,z'
loop_
_atom_site_label
_atom_site_fract_x
_atom_site_fract_y
_atom_site_fract_z
Sc1 0.3333 0.6667 0.2500
Sc2 0.6667 0.3333 0.7500
Au1 0.1673 0.3345 0.7500
Au2 0.1673 0.8327 0.7500
Au3 0.3345 0.1673 0.2500
Au4 0.6655 0.8327 0.7500
Au5 0.8327 0.1673 0.2500
Au6 0.8327 0.6655 0.2500
```

Values from the calculation:
VASP energy in eV per atom: -4.628